PBE with a Hubbard U Tb2VCrO6, relaxed; VASP energy = -8.2285 eV/atom; space group = No. 14
1.0
5.327 0.000 0.000
0.000 5.699 0.000
-5.303 0.000 7.660
Tb V Cr O
4 2 2 12
direct
0.230 0.067 0.250
0.230 0.433 0.750
0.770 0.567 0.250
0.770 0.933 0.750
0.000 0.000 0.500
0.000 0.500 0.000
0.500 0.000 0.000
0.500 0.500 0.500
0.136 0.192 0.942
0.136 0.308 0.442
0.252 0.697 0.943
0.252 0.803 0.443
0.362 0.042 0.749
0.362 0.458 0.249
0.638 0.542 0.751
0.638 0.958 0.251
0.748 0.197 0.557
0.748 0.303 0.057
0.864 0.692 0.558
0.864 0.808 0.058